A plane-wave DFT calculation with PBE was carried out for a relaxed structure of NpTl2RuO8.

Structure (POSCAR):
```
NpTl2RuO8
1.0
5.082 0.000 0.000
0.000 6.535 0.000
-0.182 0.000 5.100
Np Tl Ru O
1 2 1 8
direct
0.000 0.000 0.000
0.500 0.259 0.500
0.500 0.741 0.500
0.000 0.500 0.000
0.181 0.255 0.826
0.181 0.745 0.826
0.271 0.500 0.281
0.287 0.000 0.294
0.713 0.000 0.706
0.729 0.500 0.719
0.819 0.255 0.174
0.819 0.745 0.174
```

Calculated values
N(E_F) (states/eV/f.u.): 4.146
Calculated volume (Å³/cell): 169
Uncorrected formation energy (meV/atom): -1355
Theoretical density (g cm⁻³): 8.6
Total magnetization (μB/cell): 3.1
Calculated total energy (eV for the cell shown): -82.874



A plane-wave DFT calculation with PBE was carried out for a relaxed structure of NpTlRuO6.

Structure (POSCAR):
```
NpTlRuO6
1.0
5.278 0.000 0.000
-2.639 4.571 0.000
0.000 0.000 5.183
Np Tl Ru O
1 1 1 6
direct
0.000 0.000 0.000
0.333 0.667 0.500
0.667 0.333 0.000
0.342 0.026 0.223
0.342 0.316 0.777
0.684 0.026 0.777
0.684 0.658 0.223
0.974 0.316 0.223
0.974 0.658 0.777
```

Calculated values
N(E_F) (states/eV/f.u.): 6.351
Calculated volume (Å³/cell): 125
Uncorrected formation energy (meV/atom): -1637
Theoretical density (g cm⁻³): 8.5
Total magnetization (μB/cell): 0.0
Calculated total energy (eV for the cell shown): -69.064